Below is a relaxed structure of BaAg5Sn2, with properties calculated at the PBE-GGA level.

## Properties
Its space group is Immm. For the energy relative to the elements, the calculation gives -0.17 eV/atom. The value obtained for the volume is 196.30 Å³/cell. Its total moment is 0.0 μB per cell.

Lattice parameters (Å, degrees): 4.639 7.093 7.093 65.99 70.91 70.91
Fractional coordinates of all 8 atoms:
Ag 0.366 0.454 0.814
Ag 0.366 0.814 0.454
Ag 0.634 0.546 0.186
Ag 0.634 0.186 0.546
Ag 0.000 0.500 0.500
Sn 0.250 0.250 0.250
Sn 0.750 0.750 0.750
Ba 0.000 0.000 0.000